Material: ReHNO2
Method: DFT, PBE
State: relaxed

Total DFT energy (no corrections) = -6.8983 eV per atom
N(E_F) = 0.396 states/eV per atom
V = 11.24 Å³/atom

```
data_ReHNO2
_space_group_name_H-M_alt 'P 4/m m m'
_space_group_IT_number 123
_space_group_name_Hall '-P 4 2'
_cell_length_a 3.8142
_cell_length_b 3.8142
_cell_length_c 3.8637
_cell_angle_alpha 90.00
_cell_angle_beta 90.00
_cell_angle_gamma 90.00
loop_
_atom_site_label
_atom_site_type_symbol
_atom_site_fract_x
_atom_site_fract_y
_atom_site_fract_z
Re1 Re 0.0000 0.0000 0.0000
H1 H 0.5000 0.5000 0.5000
N1 N 0.0000 0.0000 0.5000
O1 O 0.0000 0.5000 0.0000
```



Material: ReHNO2
Method: DFT, PBE
State: relaxed

Total DFT energy (no corrections) = -5.8742 eV per atom
N(E_F) = 0.777 states/eV per atom
V = 7.86 Å³/atom

```
data_ReHNO2
_space_group_name_H-M_alt 'P 4/m m m'
_space_group_IT_number 123
_space_group_name_Hall '-P 4 2'
_cell_length_a 2.9524
_cell_length_b 2.9524
_cell_length_c 4.5066
_cell_angle_alpha 90.00
_cell_angle_beta 90.00
_cell_angle_gamma 90.00
loop_
_atom_site_label
_atom_site_type_symbol
_atom_site_fract_x
_atom_site_fract_y
_atom_site_fract_z
Re1 Re 0.0000 0.0000 0.0000
H1 H 0.5000 0.5000 0.5000
N1 N 0.5000 0.5000 0.0000
O1 O 0.0000 0.5000 0.5000
```



Material: HRuNO2
Method: DFT, PBE
State: relaxed

Total DFT energy (no corrections) = -5.5814 eV per atom
N(E_F) = 0.351 states/eV per atom
V = 11.05 Å³/atom

```
data_HRuNO2
_space_group_name_H-M_alt 'P 4/m m m'
_space_group_IT_number 123
_space_group_name_Hall '-P 4 2'
_cell_length_a 3.8043
_cell_length_b 3.8043
_cell_length_c 3.8164
_cell_angle_alpha 90.00
_cell_angle_beta 90.00
_cell_angle_gamma 90.00
loop_
_atom_site_label
_atom_site_type_symbol
_atom_site_fract_x
_atom_site_fract_y
_atom_site_fract_z
H1 H 0.0000 0.0000 0.0000
Ru1 Ru 0.5000 0.5000 0.5000
N1 N 0.5000 0.5000 0.0000
O1 O 0.0000 0.5000 0.5000
```



Material: HRuNO2
Method: DFT, PBE
State: relaxed

Total DFT energy (no corrections) = -5.0807 eV per atom
N(E_F) = 0.791 states/eV per atom
V = 7.53 Å³/atom

```
data_HRuNO2
_space_group_name_H-M_alt 'P 4/m m m'
_space_group_IT_number 123
_space_group_name_Hall '-P 4 2'
_cell_length_a 3.8038
_cell_length_b 3.8038
_cell_length_c 2.6033
_cell_angle_alpha 90.00
_cell_angle_beta 90.00
_cell_angle_gamma 90.00
loop_
_atom_site_label
_atom_site_type_symbol
_atom_site_fract_x
_atom_site_fract_y
_atom_site_fract_z
H1 H 0.0000 0.0000 0.0000
Ru1 Ru 0.5000 0.5000 0.5000
N1 N 0.0000 0.0000 0.5000
O1 O 0.0000 0.5000 0.0000
```



Material: SmH8S3N3O10
Method: DFT, PBE
State: relaxed

Total DFT energy (no corrections) = -5.9091 eV per atom
N(E_F) = 0.000 states/eV per atom
V = 11.21 Å³/atom

```
data_SmH8S3N3O10
_space_group_name_H-M_alt 'P -1'
_space_group_IT_number 2
_cell_length_a 6.8774
_cell_length_b 9.4648
_cell_length_c 9.5351
_cell_angle_alpha 69.31
_cell_angle_beta 82.68
_cell_angle_gamma 75.06
loop_
_space_group_symop_operation_xyz
'x,y,z'
'-x,-y,-z'
loop_
_atom_site_label
_atom_site_type_symbol
_atom_site_fract_x
_atom_site_fract_y
_atom_site_fract_z
Sm1 Sm 0.1297 0.0814 0.1864
H1 H 0.0221 0.3802 0.7690
H2 H 0.1756 0.5491 0.3370
H3 H 0.1873 0.4051 0.1565
H4 H 0.3423 0.3489 0.0342
H5 H 0.3717 0.2550 0.5582
H6 H 0.4064 0.3121 0.7002
H7 H 0.4231 0.8132 0.6821
H8 H 0.4541 0.6222 0.7213
S1 S 0.2187 0.7587 0.5531
S2 S 0.2526 0.6964 0.1082
S3 S 0.3076 0.0904 0.7872
N1 N 0.1298 0.5702 0.2311
N2 N 0.3193 0.2601 0.6633
N3 N 0.4316 0.7281 0.6368
O1 O 0.0445 0.7724 0.6604
O2 O 0.1641 0.7337 0.9636
O3 O 0.1671 0.0341 0.7278
O4 O 0.2136 0.9089 0.4325
O5 O 0.2235 0.8346 0.1524
O6 O 0.2300 0.1289 0.9235
O7 O 0.2367 0.3206 0.1122
O8 O 0.2420 0.6263 0.5046
O9 O 0.4635 0.6100 0.1177
O10 O 0.4956 0.0214 0.1918
```



Material: Sn2H22S6N4O3
Method: DFT, PBE
State: relaxed

Total DFT energy (no corrections) = -4.7400 eV per atom
N(E_F) = 0.000 states/eV per atom
V = 11.89 Å³/atom

```
data_Sn2H22S6N4O3
_space_group_name_H-M_alt 'P 41 21 2'
_space_group_IT_number 92
_cell_length_a 8.7701
_cell_length_b 8.7701
_cell_length_c 22.8809
_cell_angle_alpha 90.00
_cell_angle_beta 90.00
_cell_angle_gamma 90.00
loop_
_space_group_symop_operation_xyz
'x,y,z'
'-y+1/2,x+1/2,z+1/4'
'-x,-y,z+1/2'
'y+1/2,-x+1/2,z+3/4'
'x+1/2,-y+1/2,-z+3/4'
'-y,-x,-z+1/2'
'-x+1/2,y+1/2,-z+1/4'
'y,x,-z'
loop_
_atom_site_label
_atom_site_type_symbol
_atom_site_fract_x
_atom_site_fract_y
_atom_site_fract_z
Sn1 Sn 0.0284 0.0392 0.0738
H1 H 0.0038 0.6454 0.7676
H2 H 0.0055 0.6508 0.3134
H3 H 0.0275 0.4692 0.4037
H4 H 0.0336 0.6569 0.1550
H5 H 0.0555 0.4167 0.7151
H6 H 0.0598 0.1707 0.2588
H7 H 0.0716 0.9122 0.2847
H8 H 0.1029 0.6668 0.0590
H9 H 0.1186 0.6573 0.9024
H10 H 0.1455 0.3166 0.2230
H11 H 0.1633 0.3071 0.2975
S1 S 0.1130 0.1130 0.5000
S2 S 0.1295 0.7934 0.6283
S3 S 0.1374 0.8111 0.3756
S4 S 0.1792 0.1792 0.0000
N1 N 0.0507 0.4183 0.6692
N2 N 0.0906 0.2862 0.2614
O1 O 0.0320 0.9680 0.2500
O2 O 0.0654 0.4167 0.7915
```